Entry 1:
# Zn2RuBr

A geometry-optimized Zn2RuBr structure (PBE-GGA, Alexandria via LeMat-Bulk).

Cell lengths 7.378, 7.378, 5.866 Å; angles 51.04, 51.04, 90.00 degrees
Sites, in units of the cell vectors:
Ru: 0.000 0.000 0.000
Ru: 0.750 0.250 0.500
Zn: 0.649 0.125 0.250
Zn: 0.101 0.625 0.250
Zn: 0.375 0.351 0.750
Zn: 0.875 0.899 0.750
Br: 0.500 0.500 0.000
Br: 0.250 0.750 0.500

Computed properties:
The calculation puts the calculated volume at 18.26 Å³ per atom. The value obtained for the uncorrected formation energy is 0.495 eV per atom. Its space group is No. 122.

***

Entry 2:
# BBrF

A geometry-optimized BBrF structure (PBE-GGA, Alexandria via LeMat-Bulk).

Cell lengths 5.771, 3.300, 6.639 Å; angles 90.00, 95.47, 90.00 degrees
Sites, in units of the cell vectors:
B: 0.486 0.500 0.371
B: 0.514 0.500 0.629
Br: 0.254 0.000 0.269
Br: 0.746 0.000 0.731
F: 0.333 0.500 0.742
F: 0.667 0.500 0.258

Computed properties:
The calculation puts the calculated volume at 20.98 Å³ per atom. The value obtained for the uncorrected formation energy is -1.312 eV per atom. Its space group is No. 10.

***

Calculated total moment (μB per atom), listed in the same order as above: 0.000; 0.000